Computed, not measured: a relaxed structure of Re2Tc6Ir at the PBE level of DFT.

Space group   No. 15
Formation energy   0.083 eV/atom
Crystal system   monoclinic
VASP energy   -0.7775 Ry per atom
Total moment   0.00 μB/f.u.

Cell lengths 6.873, 6.873, 7.035 Å; angles 115.54, 115.54, 84.85 degrees
Element x y z (fractional)
Re  0.015  0.301  0.408
Re  0.301  0.015  0.908
Re  0.699  0.985  0.092
Re  0.985  0.699  0.592
Tc  0.035  0.810  0.012
Tc  0.190  0.965  0.488
Tc  0.202  0.381  0.872
Tc  0.223  0.561  0.306
Tc  0.381  0.202  0.372
Tc  0.439  0.777  0.194
Tc  0.561  0.223  0.806
Tc  0.619  0.798  0.628
Tc  0.777  0.439  0.694
Tc  0.798  0.619  0.128
Tc  0.810  0.035  0.512
Tc  0.965  0.190  0.988
Ir  0.417  0.583  0.750
Ir  0.583  0.417  0.250

Computed, not measured: a relaxed structure of Na4Ga4Si19 at the PBE level of DFT.

Space group   No. 1
Energy relative to the elements, uncorrected   -2.7 kJ/mol of atoms
Crystal system   triclinic
VASP energy   -0.3299 Ry per atom
Total moment   0.00 μB/f.u.

Cell lengths 10.388, 10.411, 10.420 Å; angles 89.96, 89.88, 89.78 degrees
Element x y z (fractional)
Na  0.000  0.000  0.000
Na  0.001  0.028  0.520
Na  0.028  0.505  0.253
Na  0.272  0.478  0.768
Na  0.511  0.750  0.283
Na  0.527  0.258  0.264
Na  0.528  0.013  0.750
Na  0.768  0.477  0.773
Ga  0.022  0.389  0.950
Ga  0.023  0.755  0.758
Ga  0.334  0.505  0.375
Ga  0.406  0.006  0.445
Ga  0.524  0.506  0.007
Ga  0.525  0.315  0.640
Ga  0.778  0.004  0.256
Ga  0.832  0.124  0.761
Si  0.024  0.385  0.560
Si  0.024  0.626  0.954
Si  0.025  0.619  0.563
Si  0.028  0.258  0.754
Si  0.142  0.199  0.255
Si  0.143  0.811  0.258
Si  0.206  0.692  0.444
Si  0.207  0.317  0.440
Si  0.208  0.689  0.073
Si  0.211  0.322  0.074
Si  0.218  0.892  0.757
Si  0.219  0.126  0.758
Si  0.269  0.005  0.251
Si  0.329  0.506  0.139
Si  0.336  0.191  0.573
Si  0.337  0.822  0.575
Si  0.339  0.820  0.938
Si  0.341  0.189  0.943
Si  0.402  0.002  0.061
Si  0.524  0.309  0.878
Si  0.524  0.700  0.869
Si  0.524  0.703  0.637
Si  0.530  0.511  0.508
Si  0.636  0.002  0.065
Si  0.644  0.005  0.449
Si  0.703  0.188  0.950
Si  0.705  0.821  0.940
Si  0.709  0.824  0.573
Si  0.711  0.187  0.568
Si  0.718  0.509  0.145
Si  0.721  0.509  0.378
Si  0.827  0.886  0.758
Si  0.833  0.324  0.077
Si  0.840  0.320  0.438
Si  0.841  0.690  0.075
Si  0.844  0.691  0.442
Si  0.909  0.202  0.254
Si  0.911  0.809  0.258

Computed, not measured: a relaxed structure of Cs2TlHg12Au3 at the PBE level of DFT.

Space group   No. 166
Formation energy   -0.048 eV/atom
Crystal system   trigonal
VASP energy   -0.0751 Ry per atom
Total moment   0.00 μB/f.u.

Cell lengths 10.939, 10.939, 10.939 Å; angles 52.28, 52.28, 52.28 degrees
Element x y z (fractional)
Cs  0.130  0.130  0.130
Cs  0.870  0.870  0.870
Tl  0.500  0.500  0.500
Hg  0.138  0.588  0.588
Hg  0.160  0.160  0.531
Hg  0.160  0.531  0.160
Hg  0.412  0.412  0.862
Hg  0.412  0.862  0.412
Hg  0.469  0.840  0.840
Hg  0.531  0.160  0.160
Hg  0.588  0.138  0.588
Hg  0.588  0.588  0.138
Hg  0.840  0.469  0.840
Hg  0.840  0.840  0.469
Hg  0.862  0.412  0.412
Au  0.000  0.500  0.500
Au  0.500  0.000  0.500
Au  0.500  0.500  0.000

Computed, not measured: a relaxed structure of LiLaGe at the PBE level of DFT.

Space group   No. 187
Formation energy   -0.586 eV/atom
Crystal system   hexagonal
VASP energy   -0.3238 Ry per atom
Total moment   0.20 μB/f.u.

Cell lengths 4.540, 4.540, 3.945 Å; angles 90.00, 90.00, 120.00 degrees
Element x y z (fractional)
Li  0.000  0.000  0.000
La  0.667  0.333  0.500
Ge  0.333  0.667  0.000

Computed, not measured: a relaxed structure of Fe4SbMo at the PBE level of DFT.

Space group   No. 216
Energy relative to the elements, uncorrected   15.6 kJ/mol of atoms
Crystal system   cubic
VASP energy   -0.5860 Ry per atom
Total moment   8.42 μB/f.u.

Cell lengths 4.857, 4.857, 4.857 Å; angles 60.00, 60.00, 60.00 degrees
Element x y z (fractional)
Fe  0.124  0.124  0.124
Fe  0.124  0.124  0.628
Fe  0.124  0.628  0.124
Fe  0.628  0.124  0.124
Sb  0.500  0.500  0.500
Mo  0.750  0.750  0.750

Computed, not measured: a relaxed structure of TmTh2Cd at the PBE level of DFT.

Space group   No. 166
Formation energy   0.240 eV/atom
Crystal system   trigonal
VASP energy   -0.3540 Ry per atom
Total moment   0.00 μB/f.u.

Cell lengths 3.432, 3.432, 37.456 Å; angles 90.00, 90.00, 120.00 degrees
Element x y z (fractional)
Tm  0.000  0.000  0.000
Tm  0.333  0.667  0.667
Tm  0.667  0.333  0.333
Th  0.000  0.000  0.411
Th  0.000  0.000  0.589
Th  0.333  0.667  0.078
Th  0.333  0.667  0.255
Th  0.667  0.333  0.745
Th  0.667  0.333  0.922
Cd  0.000  0.000  0.500
Cd  0.333  0.667  0.167
Cd  0.667  0.333  0.833

Computed, not measured: a relaxed structure of TiAlPd14 at the PBE level of DFT.

Space group   No. 123
Formation energy   -0.322 eV/atom
Crystal system   tetragonal
VASP energy   -0.4111 Ry per atom
Total moment   0.00 μB/f.u.

Cell lengths 5.608, 5.608, 7.752 Å; angles 90.00, 90.00, 90.00 degrees
Element x y z (fractional)
Ti  0.000  0.000  0.000
Al  0.500  0.500  0.000
Pd  0.000  0.000  0.500
Pd  0.000  0.500  0.000
Pd  0.000  0.500  0.500
Pd  0.250  0.250  0.242
Pd  0.250  0.250  0.758
Pd  0.250  0.750  0.242
Pd  0.250  0.750  0.758
Pd  0.500  0.000  0.000
Pd  0.500  0.000  0.500
Pd  0.500  0.500  0.500
Pd  0.750  0.250  0.242
Pd  0.750  0.250  0.758
Pd  0.750  0.750  0.242
Pd  0.750  0.750  0.758

Computed, not measured: a relaxed structure of BaLaTeI2 at the PBE level of DFT.

Space group   No. 123
Energy relative to the elements, uncorrected   -117.9 kJ/mol of atoms
Crystal system   tetragonal
VASP energy   -0.2822 Ry per atom
Total moment   0.00 μB/f.u.

Cell lengths 6.176, 6.176, 6.220 Å; angles 90.00, 90.00, 90.00 degrees
Element x y z (fractional)
Ba  0.000  0.000  0.000
La  0.500  0.500  0.500
Te  0.500  0.500  0.000
I  0.000  0.500  0.500
I  0.500  0.000  0.500

Computed, not measured: a relaxed structure of TmZrTlPd at the PBE level of DFT.

Space group   No. 216
Formation energy   -0.347 eV/atom
Crystal system   cubic
VASP energy   -0.4036 Ry per atom
Total moment   0.37 μB/f.u.

Cell lengths 7.084, 7.084, 7.084 Å; angles 90.00, 90.00, 90.00 degrees
Element x y z (fractional)
Tm  0.000  0.000  0.000
Tm  0.000  0.500  0.500
Tm  0.500  0.000  0.500
Tm  0.500  0.500  0.000
Zr  0.000  0.000  0.500
Zr  0.000  0.500  0.000
Zr  0.500  0.000  0.000
Zr  0.500  0.500  0.500
Tl  0.250  0.250  0.250
Tl  0.250  0.750  0.750
Tl  0.750  0.250  0.750
Tl  0.750  0.750  0.250
Pd  0.250  0.250  0.750
Pd  0.250  0.750  0.250
Pd  0.750  0.250  0.250
Pd  0.750  0.750  0.750

Computed, not measured: a relaxed structure of TbTm3Pu2Te6 at the PBE level of DFT.

Space group   No. 12
Energy relative to the elements, uncorrected   -115.3 kJ/mol of atoms
Crystal system   monoclinic
VASP energy   -0.4894 Ry per atom
Total moment   12.12 μB/f.u.

Cell lengths 9.759, 9.759, 8.756 Å; angles 103.53, 103.53, 25.64 degrees
Element x y z (fractional)
Tb  0.000  0.000  0.000
Tm  0.000  0.000  0.500
Tm  0.332  0.332  0.166
Tm  0.668  0.668  0.834
Pu  0.334  0.334  0.668
Pu  0.666  0.666  0.332
Te  0.165  0.165  0.589
Te  0.167  0.167  0.077
Te  0.497  0.497  0.253
Te  0.503  0.503  0.747
Te  0.833  0.833  0.923
Te  0.835  0.835  0.411

Computed, not measured: a relaxed structure of AcPmSc2 at the PBE level of DFT.

Space group   No. 123
Formation energy   0.085 eV/atom
Crystal system   tetragonal
VASP energy   -0.3892 Ry per atom
Total moment   0.00 μB/f.u.

Cell lengths 4.017, 4.017, 7.778 Å; angles 90.00, 90.00, 90.00 degrees
Element x y z (fractional)
Ac  0.000  0.000  0.000
Pm  0.000  0.000  0.500
Sc  0.500  0.500  0.267
Sc  0.500  0.500  0.733

Computed, not measured: a relaxed structure of HfZr3Tc at the PBE level of DFT.

Space group   No. 221
Formation energy   1.579 eV/atom
Crystal system   cubic
VASP energy   -0.5596 Ry per atom
Total moment   0.00 μB/f.u.

Cell lengths 5.027, 5.027, 5.027 Å; angles 90.00, 90.00, 90.00 degrees
Element x y z (fractional)
Hf  0.000  0.000  0.000
Zr  0.000  0.000  0.500
Zr  0.000  0.500  0.000
Zr  0.500  0.000  0.000
Tc  0.500  0.500  0.500